# 1
Compound: Th5FeHg
Source: the Alexandria database
Functional: GGA-PBE
Structure: relaxed

abc: 4.679 5.010 8.377
angles: 90.00 90.00 90.00
Fractional positions:
Fe 0.500 0.500 0.000
Th 0.500 0.500 0.500
Hg 0.000 0.000 0.500
Th 0.000 0.500 0.200
Th 0.500 0.000 0.801
Th 0.500 0.000 0.199
Th 0.000 0.500 0.800

Results
Volume ... 196 Å³ per cell
SG ... Pmmm (47)
DFT formation energy ... 1.6 kcal/mol of atoms
Total moment ... 0.0 μB/cell

***

# 2
Compound: Th3Fe3Hg
Source: the Alexandria database
Functional: GGA-PBE
Structure: relaxed

abc: 3.777 9.866 9.866
angles: 120.00 90.00 90.00
Site moments in Bohr magnetons follow the coordinates.
Fractional positions:
Th 0.750 0.677 0.052  -0.16
Th 0.250 0.323 0.948  -0.16
Fe 0.750 0.840 0.863  1.30
Fe 0.750 0.023 0.160  1.30
Hg 0.750 0.333 0.667  0.01
Fe 0.250 0.863 0.023  1.30
Fe 0.250 0.977 0.840  1.30
Hg 0.250 0.667 0.333  0.01
Th 0.750 0.948 0.624  -0.16
Fe 0.750 0.137 0.977  1.30
Th 0.250 0.624 0.677  -0.16
Fe 0.250 0.160 0.137  1.30
Th 0.250 0.052 0.376  -0.16
Th 0.750 0.376 0.323  -0.16

Results
Volume ... 318 Å³ per cell
SG ... P6_3/m (176)
DFT formation energy ... -1.6 kcal/mol of atoms
Total moment ... 6.3 μB/cell

***

# 3
Compound: Th3FeHg
Source: the Alexandria database
Functional: GGA-PBE
Structure: relaxed

abc: 3.886 9.455 14.971
angles: 90.00 90.00 90.00
Fractional positions:
Fe 0.250 0.833 0.436
Th 0.250 0.711 0.281
Fe 0.750 0.167 0.564
Th 0.250 0.211 0.219
Hg 0.250 0.566 0.669
Th 0.250 0.980 0.609
Hg 0.750 0.434 0.331
Fe 0.750 0.667 0.936
Th 0.750 0.673 0.502
Th 0.750 0.520 0.109
Fe 0.250 0.333 0.064
Th 0.750 0.289 0.719
Th 0.750 0.789 0.781
Th 0.250 0.827 0.002
Th 0.750 0.020 0.391
Th 0.250 0.480 0.891
Th 0.750 0.173 0.998
Hg 0.250 0.066 0.831
Th 0.250 0.327 0.498
Hg 0.750 0.934 0.169

Results
Volume ... 550 Å³ per cell
SG ... Pnma (62)
Energy relative to the lowest polymorph listed for this composition ... 0.00 eV per formula unit
DFT formation energy ... -3.3 kcal/mol of atoms
Total moment ... 0.0 μB/cell

***

Record order is preserved below.
N(E_F): 9.449 16.942 23.716 states/eV per cell